A relaxed LiTlTe crystal, computed with PBE-GGA.

E	-2.898	eV per atom
theoretical density	6.421	Mg/m³
distance to the lowest polymorph of the same formula	0.70	eV/f.u.
ΔE_f (raw)	-0.424	eV per atom

Cell lengths 3.5644, 4.3705, 5.6266 Å; angles 90.00, 89.99, 90.00 degrees
Element x y z (fractional)
1 Te 0.2510 0.5000 0.0563
2 Li 0.7506 0.0000 0.1034
3 Tl 0.2479 0.0000 0.5881